(1)
Computed, not measured: a relaxed Nd2YThN4 crystal at the PBE level of DFT.

The total magnetic moment comes out at 0.00 Bohr magnetons per cell. For the raw formation energy, the calculation gives -1.530 eV per atom. As for the space group: P2/m (10). For the calculated density, the calculation gives 8.27 Mg/m³. For the final energy, the calculation gives -8.620 eV/atom.

```
8
Lattice="6.239 0.000 0.000 0.000 3.621 0.000 -2.071 0.000 5.914" Properties=species:S:1:pos:R:3 pbc="T T T"
Nd 0.000 0.000 0.000
Nd 3.120 1.811 0.000
Y -1.035 1.811 2.957
Th 2.084 0.000 2.957
N 0.018 0.000 4.360
N 1.041 1.811 1.556
N 3.127 1.811 4.359
N 4.151 0.000 1.554
```

=====

(2)
Computed, not measured: a relaxed NdY2ThN4 crystal at the PBE level of DFT.

The total magnetic moment comes out at 0.00 Bohr magnetons per cell. For the raw formation energy, the calculation gives -1.591 eV per atom. As for the space group: P2/m (10). For the calculated density, the calculation gives 7.86 Mg/m³. For the final energy, the calculation gives -8.893 eV/atom.

```
8
Lattice="6.174 0.000 0.000 0.000 3.578 0.000 -2.049 0.000 5.833" Properties=species:S:1:pos:R:3 pbc="T T T"
Nd 0.000 0.000 0.000
Y 2.063 0.000 2.916
Y 3.087 1.789 0.000
Th -1.024 1.789 2.916
N 0.043 0.000 4.350
N 1.051 1.789 1.513
N 3.074 1.789 4.320
N 4.083 0.000 1.483
```

=====

(3)
Computed, not measured: a relaxed NdYThN3 crystal at the PBE level of DFT.

The total magnetic moment comes out at 0.00 Bohr magnetons per cell. For the raw formation energy, the calculation gives -1.417 eV per atom. As for the space group: P2_1/m (11). For the calculated density, the calculation gives 8.41 Mg/m³. For the final energy, the calculation gives -8.688 eV/atom.

```
12
Lattice="6.160 0.000 0.000 0.000 3.591 0.000 -1.867 0.000 9.054" Properties=species:S:1:pos:R:3 pbc="T T T"
Nd 0.599 0.898 1.734
Nd 3.694 2.693 7.319
Y 0.558 0.898 7.838
Y 3.735 2.693 1.216
Th 0.613 2.693 4.961
Th 3.681 0.898 4.093
N -0.948 0.898 5.997
N -0.282 2.693 9.035
N 2.186 2.693 3.134
N 2.107 0.898 5.920
N 4.576 0.898 0.019
N 5.242 2.693 3.056
```

=====

(4)
Computed, not measured: a relaxed NdY3Th2N6 crystal at the PBE level of DFT.

The total magnetic moment comes out at 0.00 Bohr magnetons per cell. For the raw formation energy, the calculation gives -1.602 eV per atom. As for the space group: C2/m (12). For the calculated density, the calculation gives 8.22 Mg/m³. For the final energy, the calculation gives -9.014 eV/atom.

```
12
Lattice="7.773 -1.790 0.000 7.773 1.790 0.000 -1.625 0.000 6.958" Properties=species:S:1:pos:R:3 pbc="T T T"
Nd 0.000 0.000 0.000
Y -0.812 0.000 3.479
Y 4.939 0.000 1.152
Y 8.983 0.000 5.806
Th 4.114 0.000 4.662
Th 9.807 0.000 2.296
N 1.636 0.000 4.062
N 2.502 0.000 0.592
N 6.551 0.000 5.150
N 7.370 0.000 1.808
N 11.419 0.000 6.366
N 12.285 0.000 2.896
```

=====

(5)
Computed, not measured: a relaxed NdThZrN3 crystal at the PBE level of DFT.

The total magnetic moment comes out at 0.00 Bohr magnetons per cell. For the raw formation energy, the calculation gives -1.228 eV per atom. As for the space group: P2_1/m (11). For the calculated density, the calculation gives 7.87 Mg/m³. For the final energy, the calculation gives -8.847 eV/atom.

```
12
Lattice="7.319 0.000 0.000 0.000 3.515 0.000 -0.974 0.000 8.364" Properties=species:S:1:pos:R:3 pbc="T T T"
Nd 0.470 0.879 2.942
Nd 5.875 2.636 5.421
Th 2.361 2.636 5.568
Th 3.984 0.879 2.796
Zr 0.260 0.879 7.913
Zr 6.085 2.636 0.450
N 0.874 2.636 0.728
N 0.566 0.879 5.635
N 2.323 2.636 3.313
N 4.022 0.879 5.051
N 5.779 2.636 2.729
N 5.471 0.879 7.636
```

=====

(6)
Computed, not measured: a relaxed Nd2ThZrN4 crystal at the PBE level of DFT.

The total magnetic moment comes out at 0.00 Bohr magnetons per cell. For the raw formation energy, the calculation gives -1.495 eV per atom. As for the space group: P2/m (10). For the calculated density, the calculation gives 8.74 Mg/m³. For the final energy, the calculation gives -8.846 eV/atom.

```
8
Lattice="6.138 0.000 0.000 0.000 3.542 0.000 -2.005 0.000 5.834" Properties=species:S:1:pos:R:3 pbc="T T T"
Nd 0.000 0.000 0.000
Nd 3.069 1.771 0.000
Th -1.002 1.771 2.917
Zr 2.066 0.000 2.917
N 0.143 0.000 4.231
N 1.109 1.771 1.633
N 3.024 1.771 4.201
N 3.990 0.000 1.602
```

=====

(7)
Computed, not measured: a relaxed Nd3Th2ZrN6 crystal at the PBE level of DFT.

The total magnetic moment comes out at 0.00 Bohr magnetons per cell. For the raw formation energy, the calculation gives -1.504 eV per atom. As for the space group: C2/m (12). For the calculated density, the calculation gives 9.08 Mg/m³. For the final energy, the calculation gives -8.808 eV/atom.

```
12
Lattice="3.106 -5.374 0.000 3.106 5.374 0.000 -2.066 0.000 5.874" Properties=species:S:1:pos:R:3 pbc="T T T"
Nd 0.000 0.000 0.000
Nd 3.106 1.763 0.000
Nd 3.106 -1.763 0.000
Th 2.073 3.578 2.937
Th 2.073 -3.578 2.937
Zr 2.073 0.000 2.937
N 1.086 1.703 1.623
N 0.099 0.000 4.285
N 1.086 -1.703 1.623
N 3.060 1.703 4.251
N 4.047 0.000 1.589
N 3.060 -1.703 4.251
```

=====

(8)
Computed, not measured: a relaxed Nd4Th3ZrN8 crystal at the PBE level of DFT.

The total magnetic moment comes out at 0.00 Bohr magnetons per cell. For the raw formation energy, the calculation gives -1.500 eV per atom. As for the space group: R-3m (166). For the calculated density, the calculation gives 9.23 Mg/m³. For the final energy, the calculation gives -8.780 eV/atom.

```
16
Lattice="3.605 2.082 5.899 -3.605 2.082 5.899 0.000 -4.163 5.899" Properties=species:S:1:pos:R:3 pbc="T T T"
Nd 0.000 0.000 0.000
Nd -1.803 -1.041 5.899
Nd -1.803 1.041 11.797
Nd 0.000 2.082 5.899
Th -3.605 0.000 8.848
Th -1.803 1.041 2.949
Th 1.803 1.041 2.949
Zr 0.000 0.000 8.848
N 0.000 0.000 4.343
N -1.720 -0.993 10.175
N 0.000 -1.986 7.521
N -1.720 0.993 7.521
N 1.720 -0.993 10.175
N 0.000 1.986 10.175
N 1.720 0.993 7.521
N 0.000 0.000 13.353
```

=====

(9)
Computed, not measured: a relaxed NdTh2ZrN4 crystal at the PBE level of DFT.

The total magnetic moment comes out at 0.00 Bohr magnetons per cell. For the raw formation energy, the calculation gives -1.502 eV per atom. As for the space group: P2/m (10). For the calculated density, the calculation gives 9.87 Mg/m³. For the final energy, the calculation gives -9.184 eV/atom.

```
8
Lattice="6.152 0.000 0.000 0.000 3.541 0.000 -2.033 0.000 5.837" Properties=species:S:1:pos:R:3 pbc="T T T"
Nd 0.000 0.000 0.000
Th 2.060 0.000 2.919
Th 3.076 1.770 0.000
Zr -1.017 1.770 2.919
N -0.041 0.000 4.246
N 0.956 1.770 1.573
N 3.163 1.770 4.264
N 4.160 0.000 1.591
```

=====

(10)
Computed, not measured: a relaxed NdTiN crystal at the PBE level of DFT.

The total magnetic moment comes out at 0.00 Bohr magnetons per cell. For the raw formation energy, the calculation gives -0.766 eV per atom. As for the space group: Cmcm (63). For the calculated density, the calculation gives 6.94 Mg/m³. For the final energy, the calculation gives -7.762 eV/atom.

```
6
Lattice="1.499 -5.483 0.000 1.499 5.483 0.000 0.000 0.000 6.006" Properties=species:S:1:pos:R:3 pbc="T T T"
Nd 1.499 2.898 4.504
Nd 1.499 -2.898 1.501
Ti 1.499 0.000 0.000
Ti 1.499 0.000 3.003
N 1.499 5.362 1.501
N 1.499 -5.362 4.504
```